[1]
# ZnAgP2

ZnAgP2 after structural relaxation (GGA-PBE, the Alexandria database).

Cell: 6.406 6.406 6.406 Å, 90.00 90.00 90.00°
Space group F-43m (No. 216)
Asymmetric unit:
Zn: 0.000 0.000 0.000 (multiplicity 4)
Ag: 0.250 0.250 0.750 (multiplicity 4)
P: 0.000 0.000 0.500 (multiplicity 4)
P: 0.250 0.250 0.250 (multiplicity 4)

Output
For the total energy, the calculation gives -0.2357 Ry/atom.



[2]
# LaY2Se3

LaY2Se3 after structural relaxation (GGA-PBE, the Alexandria database).

Cell: 4.142 5.906 12.532 Å, 90.00 90.00 90.00°
Space group Immm (No. 71)
Asymmetric unit:
La: 0.000 0.000 0.000 (multiplicity 2)
Y: 0.000 0.000 0.338 (multiplicity 4)
Se: 0.000 0.500 0.000 (multiplicity 2)
Se: 0.000 0.500 0.323 (multiplicity 4)

Output
For the total energy, the calculation gives -0.4816 Ry/atom.



[3]
# KEr2Co

KEr2Co after structural relaxation (GGA-PBE, the Alexandria database).

Cell: 3.8845 3.8845 32.3435 Å, 90.00 90.00 120.00°
Space group R-3m (No. 166, hexagonal axes)
Asymmetric unit:
K: 0.0000 0.0000 0.0000 (multiplicity 3)
Er: 0.0000 0.0000 0.1241 (multiplicity 6)
Co: 0.0000 0.0000 0.5000 (multiplicity 3)

Output
For the total energy, the calculation gives -0.3139 Ry/atom.



[4]
# Sr2TaAl

Sr2TaAl after structural relaxation (GGA-PBE, the Alexandria database).

Cell: 3.317 5.172 6.428 Å, 90.00 90.08 90.00°
Space group P2/m (No. 10)
Asymmetric unit:
Sr: 0.000 0.000 0.250 (multiplicity 2)
Ta: 0.500 0.500 0.000 (multiplicity 1)
Al: 0.500 0.500 0.500 (multiplicity 1)

Output
For the total energy, the calculation gives -0.2951 Ry/atom.



[5]
# Mo3Ir2Ru4

Mo3Ir2Ru4 after structural relaxation (GGA-PBE, the Alexandria database).

Cell: 5.040 6.859 9.075 Å, 107.72 97.19 109.34°
Space group P-1 (No. 2)
Asymmetric unit:
Mo: 0.039 0.319 0.058 (multiplicity 2)
Mo: 0.124 0.991 0.798 (multiplicity 2)
Mo: 0.291 0.766 0.243 (multiplicity 2)
Ir: 0.342 0.426 0.858 (multiplicity 2)
Ir: 0.397 0.086 0.121 (multiplicity 2)
Ru: 0.100 0.539 0.659 (multiplicity 2)
Ru: 0.200 0.181 0.549 (multiplicity 2)
Ru: 0.347 0.832 0.549 (multiplicity 2)
Ru: 0.355 0.394 0.354 (multiplicity 2)

Output
For the total energy, the calculation gives -0.7062 Ry/atom.



[6]
# Ba3PClO

Ba3PClO after structural relaxation (GGA-PBE, the Alexandria database).

Cell: 9.460 4.571 10.631 Å, 90.00 99.53 90.00°
Space group P2_1/m (No. 11)
Asymmetric unit:
Ba: 0.083 0.250 0.361 (multiplicity 2)
Ba: 0.329 0.250 0.968 (multiplicity 2)
Ba: 0.386 0.750 0.667 (multiplicity 2)
P: 0.152 0.250 0.660 (multiplicity 2)
Cl: 0.336 0.750 0.316 (multiplicity 2)
O: 0.420 0.750 0.901 (multiplicity 2)

Output
For the total energy, the calculation gives -0.3568 Ry/atom.



[7]
# Y2IrSe

Y2IrSe after structural relaxation (GGA-PBE, the Alexandria database).

Cell: 6.982 6.982 6.982 Å, 90.00 90.00 90.00°
Space group F-43m (No. 216)
Asymmetric unit:
Y: 0.000 0.000 0.000 (multiplicity 4)
Y: 0.250 0.250 0.250 (multiplicity 4)
Ir: 0.000 0.000 0.500 (multiplicity 4)
Se: 0.250 0.250 0.750 (multiplicity 4)

Output
For the total energy, the calculation gives -0.4810 Ry/atom.



[8]
# Be2CrFeNi

Be2CrFeNi after structural relaxation (GGA-PBE, the Alexandria database).

Cell: 3.869 3.869 4.247 Å, 90.00 90.00 90.00°
Space group P4/mmm (No. 123)
Asymmetric unit:
Be: 0.000 0.500 0.000 (multiplicity 2)
Cr: 0.000 0.000 0.500 (multiplicity 1)
Fe: 0.500 0.500 0.500 (multiplicity 1)
Ni: 0.000 0.000 0.000 (multiplicity 1)

Output
For the total energy, the calculation gives -0.3992 Ry/atom.



[9]
# CaAgGeI5

CaAgGeI5 after structural relaxation (GGA-PBE, the Alexandria database).

Cell: 8.138 14.770 11.342 Å, 90.00 109.25 90.00°
Space group C2/c (No. 15)
Asymmetric unit:
Ca: 0.000 0.000 0.000 (multiplicity 4)
Ag: 0.000 0.266 0.250 (multiplicity 4)
Ge: 0.000 0.469 0.750 (multiplicity 4)
I: 0.000 0.081 0.750 (multiplicity 4)
I: 0.136 0.395 0.453 (multiplicity 8)
I: 0.223 0.164 0.149 (multiplicity 8)

Output
For the total energy, the calculation gives -0.2085 Ry/atom.



[10]
# TbTm3Sc2Te6

TbTm3Sc2Te6 after structural relaxation (GGA-PBE, the Alexandria database).

Cell: 18.618 4.260 8.569 Å, 90.00 103.18 90.00°
Space group C2/m (No. 12)
Asymmetric unit:
Tb: 0.000 0.000 0.000 (multiplicity 2)
Tm: 0.000 0.000 0.500 (multiplicity 2)
Tm: 0.161 0.500 0.831 (multiplicity 4)
Sc: 0.164 0.500 0.330 (multiplicity 4)
Te: 0.004 0.500 0.257 (multiplicity 4)
Te: 0.170 0.000 0.578 (multiplicity 4)
Te: 0.171 0.000 0.091 (multiplicity 4)

Output
For the total energy, the calculation gives -0.3893 Ry/atom.



[11]
# La6HgIr2

La6HgIr2 after structural relaxation (GGA-PBE, the Alexandria database).

Cell: 16.380 10.683 6.403 Å, 90.00 103.74 90.00°
Space group C2/c (No. 15)
Asymmetric unit:
La: 0.103 0.079 0.158 (multiplicity 8)
La: 0.107 0.428 0.174 (multiplicity 8)
La: 0.193 0.248 0.712 (multiplicity 8)
Hg: 0.000 0.265 0.750 (multiplicity 4)
Ir: 0.247 0.004 0.993 (multiplicity 8)

Output
Its energy relative to the lowest polymorph listed for this composition is 0.033 eV/atom. For the total energy, the calculation gives -0.4229 Ry/atom.



[12]
# Y6SnGe2Te3

Y6SnGe2Te3 after structural relaxation (GGA-PBE, the Alexandria database).

Cell: 18.921 4.284 8.727 Å, 90.00 104.01 90.00°
Space group C2/m (No. 12)
Asymmetric unit:
Y: 0.009 0.000 0.249 (multiplicity 4)
Y: 0.166 0.500 0.107 (multiplicity 4)
Y: 0.174 0.500 0.567 (multiplicity 4)
Sn: 0.000 0.500 0.000 (multiplicity 2)
Ge: 0.168 0.000 0.336 (multiplicity 4)
Te: 0.000 0.500 0.500 (multiplicity 2)
Te: 0.165 0.000 0.833 (multiplicity 4)

Output
For the total energy, the calculation gives -0.4619 Ry/atom.



[13]
# Li2InAg8

Li2InAg8 after structural relaxation (GGA-PBE, the Alexandria database).

Cell: 7.630 12.602 4.980 Å, 90.00 121.49 90.00°
Space group C2/m (No. 12)
Asymmetric unit:
Li: 0.000 0.190 0.000 (multiplicity 4)
In: 0.000 0.500 0.500 (multiplicity 2)
Ag: 0.000 0.278 0.500 (multiplicity 4)
Ag: 0.090 0.000 0.318 (multiplicity 4)
Ag: 0.212 0.381 0.113 (multiplicity 8)

Output
Its energy relative to the lowest polymorph listed for this composition is 0.042 eV/atom. For the total energy, the calculation gives -0.1973 Ry/atom.



[14]
# Ac2PrSm2Y6

Ac2PrSm2Y6 after structural relaxation (GGA-PBE, the Alexandria database).

Cell: 6.293 10.885 12.036 Å, 90.00 99.87 90.00°
Space group C2/m (No. 12)
Asymmetric unit:
Ac: 0.000 0.167 0.000 (multiplicity 4)
Pr: 0.000 0.000 0.500 (multiplicity 2)
Sm: 0.000 0.335 0.500 (multiplicity 4)
Y: 0.245 0.500 0.743 (multiplicity 4)
Y: 0.247 0.166 0.743 (multiplicity 8)

Output
For the total energy, the calculation gives -0.3958 Ry/atom.



[15]
# Mn3BeS

Mn3BeS after structural relaxation (GGA-PBE, the Alexandria database).

Cell: 4.045 4.045 4.045 Å, 90.00 90.00 90.00°
Space group Pm-3m (No. 221)
Asymmetric unit:
Mn: 0.000 0.000 0.500 (multiplicity 3)
Be: 0.500 0.500 0.500 (multiplicity 1)
S: 0.000 0.000 0.000 (multiplicity 1)

Output
Its energy relative to the lowest polymorph listed for this composition is 0.000 eV/atom. For the total energy, the calculation gives -0.4863 Ry/atom.